Run P
VASP calculation (PBEsol) on Cu2RePb after structural relaxation.

Structure (POSCAR):
```
Cu2RePb
1.0
-0.100 2.023 1.977
-4.341 -1.539 1.355
3.425 -2.263 2.489
Cu Re Pb
2 1 1
direct
0.000 0.000 0.500 Cu
0.000 0.500 0.000 Cu
0.500 0.500 0.500 Re
0.500 0.000 0.000 Pb
```

As for the calculated density: 14.1 g/cm3.

***

Run Q
VASP calculation (PBEsol) on Cu2RePb after structural relaxation.

Structure (POSCAR):
```
Cu2RePb
1.0
2.997 0.000 0.000
0.000 4.543 0.000
-1.498 -2.272 4.624
Re Cu Pb
1 2 1
direct
0.000 0.500 0.000 Re
0.736 0.736 0.473 Cu
0.264 0.264 0.527 Cu
0.500 0.000 0.000 Pb
```

As for the calculated density: 13.7 g/cm3.

***

Tell me which of them is the least stable. Sure, it is run Q.

***

Run P
VASP calculation (PBEsol) on Cu2SiPb after structural relaxation.

Structure (POSCAR):
```
Cu2SiPb
1.0
-2.060 0.510 3.396
-3.996 -0.257 -0.025
-1.702 -4.926 2.068
Si Pb Cu
1 1 2
direct
0.000 0.000 0.000 Si
0.500 0.500 0.500 Pb
0.699 0.699 0.904 Cu
0.301 0.301 0.096 Cu
```

As for the calculated density: 8.5 g/cm3.

***

Run Q
VASP calculation (PBEsol) on Cu2SiPb after structural relaxation.

Structure (POSCAR):
```
Cu2SiPb
1.0
-1.395 -1.322 -2.483
0.511 -2.844 1.228
-5.936 0.303 3.174
Cu Si Pb
2 1 1
direct
0.000 0.000 0.682 Cu
0.000 0.000 0.318 Cu
0.500 0.500 0.500 Si
0.500 0.500 0.000 Pb
```

As for the calculated density: 9.1 g/cm3.

***

Tell me which of them is the least stable. Sure, it is run Q.

***

Run P
VASP calculation (PBEsol) on TaCuPb2 after structural relaxation.

Structure (POSCAR):
```
TaCuPb2
1.0
-2.438 -0.881 -1.681
2.325 -4.264 -1.137
-2.075 0.264 5.712
Cu Pb Ta
1 2 1
direct
0.234 0.734 0.469 Cu
0.760 0.260 0.520 Pb
0.971 0.971 0.943 Pb
0.534 0.534 0.068 Ta
```

As for the calculated density: 13.3 g/cm3.

***

Run Q
VASP calculation (PBEsol) on TaCuPb2 after structural relaxation.

Structure (POSCAR):
```
TaCuPb2
1.0
4.272 0.000 0.000
0.000 4.272 0.000
-2.136 -2.136 4.393
Ta Pb Cu
1 2 1
direct
0.000 0.000 0.000 Ta
0.250 0.750 0.500 Pb
0.750 0.250 0.500 Pb
0.500 0.500 0.000 Cu
```

As for the calculated density: 13.7 g/cm3.

***

Run R
VASP calculation (PBEsol) on TaCuPb2 after structural relaxation.

Structure (POSCAR):
```
TaCuPb2
1.0
-2.257 2.175 0.974
-2.789 -2.228 -1.488
-0.528 -3.012 5.500
Pb Ta Cu
2 1 1
direct
0.000 0.000 0.259 Pb
0.000 0.000 0.741 Pb
0.500 0.500 0.000 Ta
0.500 0.500 0.500 Cu
```

As for the calculated density: 13.7 g/cm3.

***

Tell me which of them is the least stable. Sure, it is run Q.

***

Run P
VASP calculation (PBEsol) on ZnCu2Pb after structural relaxation.

Structure (POSCAR):
```
ZnCu2Pb
1.0
-2.071 -0.334 2.345
0.653 -1.906 2.416
2.902 5.274 5.425
Pb Cu Zn
1 2 1
direct
0.500 0.500 0.500 Pb
0.739 0.739 0.783 Cu
0.261 0.261 0.217 Cu
0.000 0.000 0.000 Zn
```

As for the calculated density: 9.8 g/cm3.

***

Run Q
VASP calculation (PBEsol) on ZnCu2Pb after structural relaxation.

Structure (POSCAR):
```
ZnCu2Pb
1.0
-0.207 0.764 3.856
1.624 -3.500 0.780
3.014 3.066 -2.455
Pb Cu Zn
1 2 1
direct
0.500 0.500 0.000 Pb
0.000 0.000 0.000 Cu
0.750 0.250 0.500 Cu
0.250 0.750 0.500 Zn
```

As for the calculated density: 10.5 g/cm3.

***

Tell me which of them is the least stable. Sure, it is run P.

***

Run P
VASP calculation (PBEsol) on Sc2Cu2Pd after structural relaxation.

Structure (POSCAR):
```
Sc2Cu2Pd
1.0
3.424 0.000 0.000
0.000 6.860 0.000
0.000 0.000 6.860
Cu Pd Sc
4 2 4
direct
0.000 0.623 0.123 Cu
0.000 0.377 0.877 Cu
0.000 0.123 0.377 Cu
0.000 0.877 0.623 Cu
0.000 0.500 0.500 Pd
0.000 0.000 0.000 Pd
0.500 0.178 0.678 Sc
0.500 0.822 0.322 Sc
0.500 0.322 0.178 Sc
0.500 0.678 0.822 Sc
```

As for the calculated density: 6.7 g/cm3.

***

Run Q
VASP calculation (PBEsol) on Sc2Cu2Pd after structural relaxation.

Structure (POSCAR):
```
Sc2Cu2Pd
1.0
-2.057 -1.467 2.124
-0.696 -2.300 -2.263
7.199 -2.470 2.701
Pd Cu Sc
1 2 2
direct
0.000 0.000 0.000 Pd
0.750 0.250 0.500 Cu
0.250 0.750 0.500 Cu
0.396 0.396 0.793 Sc
0.604 0.604 0.207 Sc
```

As for the calculated density: 6.4 g/cm3.

***

Tell me which of them is the least stable. Sure, it is run Q.

***

Run P
VASP calculation (PBEsol) on Cu7Pt5 after structural relaxation.

Structure (POSCAR):
```
Cu7Pt5
1.0
-0.005 0.017 4.590
-0.218 -3.987 -2.275
8.632 0.860 -0.705
Cu Pt
7 5
direct
0.502 0.504 0.500 Cu
0.415 0.081 0.246 Cu
0.836 0.172 0.500 Cu
0.659 0.327 0.000 Cu
0.005 0.001 0.000 Cu
0.251 0.252 0.754 Cu
0.332 0.662 0.999 Cu
0.080 0.410 0.244 Pt
0.174 0.848 0.500 Pt
0.744 0.745 0.244 Pt
0.916 0.582 0.756 Pt
0.587 0.917 0.756 Pt
```

As for the calculated density: 15.0 g/cm3.

***

Run Q
VASP calculation (PBEsol) on Cu7Pt5 after structural relaxation.

Structure (POSCAR):
```
Cu7Pt5
1.0
4.541 0.005 0.000
-1.571 4.325 0.000
0.000 0.000 7.963
Pt Cu
5 7
direct
0.500 0.000 0.500 Pt
0.000 0.500 0.843 Pt
0.500 0.500 0.329 Pt
0.500 0.000 0.155 Pt
0.500 0.500 0.671 Pt
0.000 0.500 0.166 Cu
0.000 0.000 0.670 Cu
0.000 0.500 0.502 Cu
0.500 0.000 0.834 Cu
0.500 0.500 0.001 Cu
0.000 0.000 0.998 Cu
0.000 0.000 0.329 Cu
```

As for the calculated density: 15.1 g/cm3.

***

Tell me which of them is the least stable. Sure, it is run P.